Entry 1:
First-principles (PBE-GGA) data for a geometry-optimized Ba2TeBr2 structure, as listed in Alexandria via LeMat-Bulk.

Structure (POSCAR):
```
Ba2TeBr2
1.0
5.2164 0.0000 0.0000
-2.6082 4.5198 -0.0114
0.0000 0.0213 8.8032
Ba Te Br
2 1 2
Direct
0.8332 0.6664 0.2737 Ba
0.1668 0.3336 0.7263 Ba
0.5000 0.0000 0.5000 Te
0.1665 0.3329 0.1287 Br
0.8335 0.6671 0.8713 Br
```

Computed properties:
ΔE_f (raw)	-978	kJ/mol of formula units
calculated volume	41.51	A^3/atom
energy relative to the lowest polymorph listed for this composition	0.00	eV/f.u.
DOS(E_F)	0.00	states/eV/f.u.
spin magnetization	0.000	μB per atom
SG	P-3m1, No. 164


Entry 2:
First-principles (PBE-GGA) data for a geometry-optimized Ba3Te2Br structure, as listed in Alexandria via LeMat-Bulk.

Structure (POSCAR):
```
Ba3Te2Br
1.0
-1.7605 -1.6358 8.1918
7.7978 -1.5973 -3.0861
0.2900 8.4727 0.2747
Ba Te Br
6 4 2
Direct
0.5779 0.9112 0.7448 Ba
0.0888 0.4221 0.2552 Ba
0.9189 0.5819 0.7456 Ba
0.2486 0.2522 0.7456 Ba
0.4181 0.0811 0.2544 Ba
0.7478 0.7514 0.2544 Ba
0.8333 0.1667 0.5000 Te
0.3333 0.6667 0.0000 Te
0.1657 0.8343 0.5000 Te
0.5010 0.4990 0.5000 Te
0.9998 0.0002 0.0000 Br
0.6668 0.3332 0.0000 Br
```

Computed properties:
ΔE_f (raw)	-1011	kJ/mol of formula units
calculated volume	42.06	A^3/atom
DOS(E_F)	1.67	states/eV/f.u.
spin magnetization	0.000	μB per atom
SG	C2/m, No. 12


Entry 3:
First-principles (PBE-GGA) data for a geometry-optimized BaTeBr structure, as listed in Alexandria via LeMat-Bulk.

Structure (POSCAR):
```
BaTeBr
1.0
5.2661 -1.2138 0.7902
-1.2160 5.2656 -0.7902
2.3205 -2.3195 10.1215
Ba Te Br
2 2 2
Direct
0.8009 0.1991 0.7623 Ba
0.1991 0.8009 0.2377 Ba
0.7732 0.2268 0.4517 Te
0.2268 0.7732 0.5483 Te
0.3910 0.6090 0.8776 Br
0.6090 0.3910 0.1224 Br
```

Computed properties:
ΔE_f (raw)	-477	kJ/mol of formula units
calculated volume	41.81	A^3/atom
energy relative to the lowest polymorph listed for this composition	0.00	eV/f.u.
spin magnetization	0.000	μB per atom
SG	C2/m, No. 12


Entry 4:
First-principles (PBE-GGA) data for a geometry-optimized BaTeBr structure, as listed in Alexandria via LeMat-Bulk.

Structure (POSCAR):
```
BaTeBr
1.0
8.2849 0.0371 -0.0397
7.3133 3.8933 -0.0461
0.9716 0.2519 3.8480
Te Ba Br
1 1 1
Direct
0.6390 0.6390 0.3610 Te
0.9857 0.9857 0.0143 Ba
0.3753 0.3753 0.6247 Br
```

Computed properties:
ΔE_f (raw)	-377	kJ/mol of formula units
calculated volume	41.08	A^3/atom
energy relative to the lowest polymorph listed for this composition	1.04	eV/f.u.
DOS(E_F)	2.09	states/eV/f.u.
spin magnetization	0.000	μB per atom
SG	I4mm, No. 107


Entry 5:
First-principles (PBE-GGA) data for a geometry-optimized Ba2Te2Br structure, as listed in Alexandria via LeMat-Bulk.

Structure (POSCAR):
```
Ba2Te2Br
1.0
9.1701 0.0000 0.0000
0.0000 9.1701 0.0000
0.0000 0.0000 4.7831
Te Ba Br
4 4 2
Direct
0.1234 0.6234 0.5000 Te
0.6234 0.8766 0.5000 Te
0.8766 0.3766 0.5000 Te
0.3766 0.1234 0.5000 Te
0.3250 0.8250 0.0000 Ba
0.8250 0.6750 0.0000 Ba
0.6750 0.1750 0.0000 Ba
0.1750 0.3250 0.0000 Ba
0.0000 0.0000 0.0000 Br
0.5000 0.5000 0.0000 Br
```

Computed properties:
ΔE_f (raw)	-769	kJ/mol of formula units
calculated volume	40.22	A^3/atom
energy relative to the lowest polymorph listed for this composition	0.00	eV/f.u.
DOS(E_F)	0.00	states/eV/f.u.
spin magnetization	0.200	μB per atom
SG	P4/mbm, No. 127


Entry 6:
First-principles (PBE-GGA) data for a geometry-optimized Ba4Te3Br structure, as listed in Alexandria via LeMat-Bulk.

Structure (POSCAR):
```
Ba4Te3Br
1.0
6.3880 0.0058 -2.8317
-1.2606 6.2625 -2.8316
-0.0301 -0.0370 8.5534
Te Ba Br
3 4 1
Direct
0.5000 0.5000 0.0000 Te
0.7500 0.2500 0.5000 Te
0.2500 0.7500 0.5000 Te
0.0000 0.5000 0.0000 Ba
0.5000 0.0000 0.0000 Ba
0.2530 0.2530 0.5061 Ba
0.7470 0.7470 0.4940 Ba
0.0000 0.0000 0.0000 Br
```

Computed properties:
ΔE_f (raw)	-1358	kJ/mol of formula units
calculated volume	42.61	A^3/atom
energy relative to the lowest polymorph listed for this composition	0.00	eV/f.u.
DOS(E_F)	3.15	states/eV/f.u.
spin magnetization	0.000	μB per atom
SG	I4/mmm, No. 139


Entry 7:
First-principles (PBE-GGA) data for a geometry-optimized BaTeBr6 structure, as listed in Alexandria via LeMat-Bulk.

Structure (POSCAR):
```
BaTeBr6
1.0
7.2779 0.0103 0.0122
3.6316 6.3057 0.0155
3.6282 2.0955 6.7565
Ba Te Br
1 1 6
Direct
0.5000 0.5000 0.5000 Ba
0.0000 0.0000 0.0000 Te
0.0324 0.4064 0.7688 Br
0.7926 0.0324 0.7688 Br
0.5936 0.2075 0.2314 Br
0.2074 0.9676 0.2312 Br
0.9676 0.5936 0.2312 Br
0.4064 0.7925 0.7686 Br
```

Computed properties:
ΔE_f (raw)	-767	kJ/mol of formula units
calculated volume	38.67	A^3/atom
DOS(E_F)	0.00	states/eV/f.u.
spin magnetization	0.000	μB per atom
SG	R-3, No. 148


Entry 8:
First-principles (PBE-GGA) data for a geometry-optimized BaTeBr3 structure, as listed in Alexandria via LeMat-Bulk.

Structure (POSCAR):
```
BaTeBr3
1.0
6.3106 0.0000 0.0000
0.0000 6.3106 0.0000
0.0000 0.0000 6.3106
Te Ba Br
1 1 3
Direct
0.5000 0.5000 0.5000 Te
0.0000 0.0000 0.0000 Ba
0.0000 0.5000 0.0000 Br
0.0000 0.0000 0.5000 Br
0.5000 0.0000 0.0000 Br
```

Computed properties:
ΔE_f (raw)	-392	kJ/mol of formula units
calculated volume	50.26	A^3/atom
energy relative to the lowest polymorph listed for this composition	0.00	eV/f.u.
DOS(E_F)	0.00	states/eV/f.u.
spin magnetization	0.600	μB per atom
SG	Pm-3m, No. 221


Entry 9:
First-principles (PBE-GGA) data for a geometry-optimized Ba3Te2Br2 structure, as listed in Alexandria via LeMat-Bulk.

Structure (POSCAR):
```
Ba3Te2Br2
1.0
-2.6581 -0.3594 4.1380
6.8153 -3.1613 4.1033
0.1645 9.2067 -2.0331
Ba Te Br
3 2 2
Direct
0.0000 0.5000 0.0000 Ba
0.2778 0.7826 0.5557 Ba
0.7222 0.2174 0.4443 Ba
0.6383 0.7675 0.2766 Te
0.3617 0.2325 0.7234 Te
0.8631 0.6629 0.7263 Br
0.1369 0.3371 0.2737 Br
```

Computed properties:
ΔE_f (raw)	-1276	kJ/mol of formula units
calculated volume	48.56	A^3/atom
DOS(E_F)	0.00	states/eV/f.u.
spin magnetization	0.000	μB per atom
SG	C2/m, No. 12


Entry 10:
First-principles (PBE-GGA) data for a geometry-optimized Ba4Te2Br3 structure, as listed in Alexandria via LeMat-Bulk.

Structure (POSCAR):
```
Ba4Te2Br3
1.0
-0.5730 4.9076 0.3139
-0.5915 -2.2880 -4.3504
-18.1774 -2.3368 3.7273
Ba Te Br
4 2 3
Direct
0.3336 0.6664 0.8976 Ba
0.9991 0.0009 0.3172 Ba
0.0009 0.9991 0.6828 Ba
0.6664 0.3336 0.1024 Ba
0.6672 0.3328 0.7941 Te
0.3328 0.6672 0.2059 Te
0.6654 0.3346 0.4002 Br
0.0000 0.0000 0.0000 Br
0.3346 0.6654 0.5998 Br
```

Computed properties:
ΔE_f (raw)	-1615	kJ/mol of formula units
calculated volume	44.11	A^3/atom
DOS(E_F)	2.52	states/eV/f.u.
spin magnetization	0.000	μB per atom
SG	C2/m, No. 12


Entry 11:
First-principles (PBE-GGA) data for a geometry-optimized Ba3TeBr structure, as listed in Alexandria via LeMat-Bulk.

Structure (POSCAR):
```
Ba3TeBr
1.0
-4.2012 -2.7297 -3.5528
4.3831 -3.5135 -2.4836
-0.9286 -4.2342 4.3512
Te Ba Br
1 3 1
Direct
0.5000 0.5000 0.5000 Te
0.0000 0.5000 0.0000 Ba
0.0000 0.0000 0.5000 Ba
0.5000 0.0000 0.0000 Ba
0.0000 0.0000 0.0000 Br
```

Computed properties:
ΔE_f (raw)	-384	kJ/mol of formula units
calculated volume	46.34	A^3/atom
energy relative to the lowest polymorph listed for this composition	0.00	eV/f.u.
DOS(E_F)	6.41	states/eV/f.u.
spin magnetization	0.000	μB per atom
SG	Pm-3m, No. 221


Entry 12:
First-principles (PBE-GGA) data for a geometry-optimized BaTeBr3 structure, as listed in Alexandria via LeMat-Bulk.

Structure (POSCAR):
```
BaTeBr3
1.0
-5.8493 -0.0949 0.7960
0.3180 -5.6563 1.6621
0.7359 1.6895 5.6090
Te Ba Br
1 1 3
Direct
0.0000 0.0000 0.0000 Te
0.5000 0.5000 0.5000 Ba
0.0000 0.5000 0.0000 Br
0.0000 0.0000 0.5000 Br
0.5000 0.0000 0.0000 Br
```

Computed properties:
ΔE_f (raw)	-370	kJ/mol of formula units
calculated volume	41.16	A^3/atom
energy relative to the lowest polymorph listed for this composition	0.23	eV/f.u.
DOS(E_F)	1.87	states/eV/f.u.
spin magnetization	0.000	μB per atom
SG	Pm-3m, No. 221